[1]
{
  "formula": "AcLa4Sm2Dy",
  "functional": "PBE",
  "state": "relaxed",
  "lattice_angstrom": [[5.2660, 0.0000, 0.0000], [2.6330, 5.8310, -0.5751], [2.6330, -0.1428, 9.5090]],
  "species": ["La", "La", "La", "La", "Sm", "Sm", "Ac", "Dy"],
  "frac_coords": [[0.6265, 0.6250, 0.1219], [0.3735, 0.3750, 0.8781], [0.8777, 0.8759, 0.3687], [0.1223, 0.1241, 0.6313], [0.7429, 0.7582, 0.7560], [0.2571, 0.2418, 0.2440], [0.5000, 0.5000, 0.5000], [0.0000, 0.0000, 0.0000]],
  "volume_a3_per_cell": 291.5,
  "space_group": "C2/m (12)",
  "dft_energy_ev_per_cell": -37.62,
  "magnetic_moment_mub_per_atom": 0.000
}



[2]
{
  "formula": "AcLaSmDy",
  "functional": "PBE",
  "state": "relaxed",
  "lattice_angstrom": [[-5.8698, -0.1577, -0.8495], [-2.4845, -4.6715, -2.6844], [-3.3481, -3.7783, 3.1171]],
  "species": ["Ac", "La", "Sm", "Dy"],
  "frac_coords": [[0.7500, 0.7500, 0.7500], [0.2500, 0.2500, 0.2500], [0.0000, 0.0000, 0.0000], [0.5000, 0.5000, 0.5000]],
  "volume_a3_per_cell": 147.7,
  "space_group": "F-43m (216)",
  "dft_energy_ev_per_cell": -17.93,
  "magnetic_moment_mub_per_atom": 0.000
}